# 1
A relaxed structure of ZnTeBrN2, computed with GGA-PBE.

Properties
Crystal system   tetragonal
Space-group type   P4/mmm, No. 123
Total magnetic moment   1.0 μB per formula unit
ΔE_f (raw)   1.899 eV/atom

Cell: 3.894 3.894 8.395 Å, 90.00 90.00 90.00°
Site moments in Bohr magnetons follow the coordinates.
Fractional coordinates of all 5 atoms:
Zn  0.500  0.500  0.500  0.00
Te  0.000  0.000  0.500  0.00
Br  0.000  0.000  0.000  0.02
N  0.000  0.500  0.000  0.35
N  0.500  0.000  0.000  0.35

=====

# 2
A relaxed structure of AcTbMgGe, computed with GGA-PBE.

Properties
Crystal system   cubic
ΔE_f   -282 meV/atom
Space-group type   F-43m, No. 216
Total magnetic moment   0.0 μB per formula unit

Cell: 5.407 5.407 5.407 Å, 60.00 60.00 60.00°
Fractional coordinates of all 4 atoms:
Mg  0.750  0.750  0.750
Ac  0.000  0.000  0.000
Tb  0.500  0.500  0.500
Ge  0.250  0.250  0.250

=====

# 3
A relaxed structure of CeRhAu, computed with GGA-PBE.

Properties
Crystal system   trigonal
ΔE_f   -516 meV/atom
Space-group type   P3m1, No. 156
Total magnetic moment   0.5 μB per formula unit

Cell: 3.362 4.661 4.661 Å, 120.00 90.00 90.00°
Site moments in Bohr magnetons follow the coordinates.
Fractional coordinates of all 3 atoms:
Rh  0.162  0.333  0.667  -0.09
Au  0.169  0.000  0.000  0.00
Ce  0.669  0.667  0.333  0.52